#one
K2RbHgAs: optimized geometry, GGA-PBE.

Cell and atoms, written as CIF:
```
data_K2RbHgAs
_space_group_name_H-M_alt 'P 4/m m m'
_space_group_IT_number 123
_space_group_name_Hall '-P 4 2'
_cell_length_a 6.445
_cell_length_b 6.445
_cell_length_c 6.770
_cell_angle_alpha 90.00
_cell_angle_beta 90.00
_cell_angle_gamma 90.00
loop_
_atom_site_label
_atom_site_fract_x
_atom_site_fract_y
_atom_site_fract_z
K1 0.000 0.500 0.000
Rb1 0.000 0.000 0.500
Hg1 0.500 0.500 0.500
As1 0.000 0.000 0.000
```

Calculated values
DOS(E_F) = 2.42 states/eV per cell
Density = 2.59 Mg/m³

***

#two
K2RbHgAs: optimized geometry, GGA-PBE.

Cell and atoms, written as CIF:
```
data_K2RbHgAs
_space_group_name_H-M_alt 'P 4/m m m'
_space_group_IT_number 123
_space_group_name_Hall '-P 4 2'
_cell_length_a 6.518
_cell_length_b 6.518
_cell_length_c 5.603
_cell_angle_alpha 90.00
_cell_angle_beta 90.00
_cell_angle_gamma 90.00
loop_
_atom_site_label
_atom_site_fract_x
_atom_site_fract_y
_atom_site_fract_z
K1 0.000 0.500 0.000
Rb1 0.000 0.000 0.500
Hg1 0.500 0.500 0.500
As1 0.500 0.500 0.000
```

Calculated values
DOS(E_F) = 2.76 states/eV per cell
Density = 3.06 Mg/m³

***

The least stable of the structures above is #two, whereas #one is the most stable.